A relaxed Rb3Tm3InS8 crystal, computed with PBE.

The space group is C2/m (No. 12) and the conventional cell measures 13.6757, 7.8856 and 9.0948 Å, with angles of 90.00, 120.11 and 90.00 degrees. The inequivalent atoms are Rb at (0.0000, 0.0000, 0.0000), Rb at (0.2500, 0.2500, 0.0000), Tm at (0.0000, 0.5000, 0.5000), Tm at (0.2500, 0.2500, 0.5000), In at (0.0000, 0.0000, 0.5000), S at (0.0204, 0.2481, 0.3131), S at (0.2278, 0.0000, 0.6869) and S at (0.2298, 0.5000, 0.6894).

Its size of the total moment is 0.00 μB per atom. The density of states at the Fermi level comes out at 0.843 states/eV per atom. For the theoretical density, the calculation gives 4.44 g/cm³. For the electronic total energy, the calculation gives -4.98 eV/atom.

=====

A relaxed NdSmPaO6 crystal, computed with PBE.

The space group is P312 (No. 149) and the conventional cell measures 5.9716, 5.9716 and 4.6928 Å, with angles of 90.00, 90.00 and 120.00 degrees. The inequivalent atoms are Nd at (0.0000, 0.0000, 0.0000), Sm at (0.6667, 0.3333, 0.0000), Pa at (0.3333, 0.6667, 0.5000) and O at (0.0205, 0.3579, 0.7510).

Its size of the total moment is 0.08 μB per atom. The density of states at the Fermi level comes out at 1.067 states/eV per atom. For the theoretical density, the calculation gives 7.12 g/cm³. For the electronic total energy, the calculation gives -8.52 eV/atom.

=====

A relaxed Sr2AcIn2Sn2 crystal, computed with PBE.

The space group is R-3m (No. 166, hexagonal axes) and the conventional cell measures 4.7538, 4.7538 and 40.1153 Å, with angles of 90.00, 90.00 and 120.00 degrees. The inequivalent atoms are Sr at (0.0000, 0.0000, 0.1230), Ac at (0.0000, 0.0000, 0.0000), In at (0.0000, 0.0000, 0.3829) and Sn at (0.0000, 0.0000, 0.2581).

Its size of the total moment is 0.04 μB per atom. The density of states at the Fermi level comes out at 0.606 states/eV per atom. For the theoretical density, the calculation gives 5.52 g/cm³. Its formation enthalpy at 0 K is -0.42 eV per atom.

=====

A relaxed NaLaZnCd crystal, computed with PBE.

The space group is F-43m (No. 216) and the conventional cell measures 7.4796, 7.4796 and 7.4796 Å, with angles of 90.00, 90.00 and 90.00 degrees. The inequivalent atoms are Na at (0.0000, 0.0000, 0.0000), La at (0.0000, 0.0000, 0.5000), Zn at (0.2500, 0.2500, 0.2500) and Cd at (0.2500, 0.2500, 0.7500).

Its size of the total moment is 0.00 μB per atom. The density of states at the Fermi level comes out at 0.784 states/eV per atom. For the theoretical density, the calculation gives 5.39 g/cm³. Its formation enthalpy at 0 K is -0.16 eV per atom.

=====

A relaxed Pm6Sm3Dy2Ho crystal, computed with PBE.

The space group is C2/m (No. 12) and the conventional cell measures 6.2710, 10.8605 and 11.9531 Å, with angles of 90.00, 100.06 and 90.00 degrees. The inequivalent atoms are Pm at (0.2495, 0.1666, 0.2474), Pm at (0.2503, 0.0000, 0.7525), Sm at (0.0000, 0.1667, 0.5000), Sm at (0.0000, 0.5000, 0.5000), Dy at (0.0000, 0.3333, 0.0000) and Ho at (0.0000, 0.0000, 0.0000).

Its size of the total moment is 0.00 μB per atom. The density of states at the Fermi level comes out at 1.305 states/eV per atom. For the theoretical density, the calculation gives 7.50 g/cm³. Its formation enthalpy at 0 K is 0.01 eV per atom.

=====

A relaxed NiSn crystal, computed with PBE.

The space group is Amm2 (No. 38) and the conventional cell measures 3.9937, 8.1516 and 6.3995 Å, with angles of 90.00, 90.00 and 90.00 degrees. The inequivalent atoms are Ni at (0.0000, 0.0000, 0.0000), Ni at (0.5000, 0.1997, 0.9495), Sn at (0.0000, 0.1878, 0.6667) and Sn at (0.5000, 0.0000, 0.2875).

Its size of the total moment is 0.00 μB per atom. The density of states at the Fermi level comes out at 0.504 states/eV per atom. For the theoretical density, the calculation gives 8.48 g/cm³. Its formation enthalpy at 0 K is -0.14 eV per atom.

=====

A relaxed Mg6NbNi crystal, computed with PBE.

The space group is Amm2 (No. 38) and the conventional cell measures 4.7883, 5.8127 and 11.0381 Å, with angles of 90.00, 90.00 and 90.00 degrees. The inequivalent atoms are Mg at (0.0000, 0.0000, 0.0000), Mg at (0.0000, 0.0000, 0.4788), Mg at (0.0000, 0.2485, 0.7549), Mg at (0.5000, 0.2490, 0.1005), Nb at (0.5000, 0.0000, 0.8514) and Ni at (0.5000, 0.0000, 0.3339).

Its size of the total moment is 0.00 μB per atom. The density of states at the Fermi level comes out at 0.688 states/eV per atom. For the theoretical density, the calculation gives 3.22 g/cm³. Its formation enthalpy at 0 K is 0.17 eV per atom.

=====

A relaxed Cd3RuF crystal, computed with PBE.

The space group is Pm-3m (No. 221) and the conventional cell measures 5.2308, 5.2308 and 5.2308 Å, with angles of 90.00, 90.00 and 90.00 degrees. The inequivalent atoms are Cd at (0.0000, 0.0000, 0.5000), Ru at (0.0000, 0.0000, 0.0000) and F at (0.5000, 0.5000, 0.5000).

Its size of the total moment is 0.22 μB per atom. The density of states at the Fermi level comes out at 1.546 states/eV per atom. For the theoretical density, the calculation gives 5.31 g/cm³. For the electronic total energy, the calculation gives -2.46 eV/atom.

=====

A relaxed PrNi9C2 crystal, computed with PBE.

The space group is P6/mmm (No. 191) and the conventional cell measures 6.7448, 6.7448 and 3.4802 Å, with angles of 90.00, 90.00 and 120.00 degrees. The inequivalent atoms are Pr at (0.0000, 0.0000, 0.0000), Ni at (0.0000, 0.5000, 0.0000), Ni at (0.2129, 0.4257, 0.5000) and C at (0.3333, 0.6667, 0.0000).

Its size of the total moment is 0.00 μB per atom. The density of states at the Fermi level comes out at 1.231 states/eV per atom. For the theoretical density, the calculation gives 8.39 g/cm³. Its formation enthalpy at 0 K is 0.05 eV per atom.

=====

A relaxed MgTiO crystal, computed with PBE.

The space group is Cm (No. 8) and the conventional cell measures 10.0570, 2.9637 and 5.3929 Å, with angles of 90.00, 104.15 and 90.00 degrees. The inequivalent atoms are Mg at (0.0000, 0.0000, 0.0000), Mg at (0.2358, 0.0000, 0.7274), Ti at (0.2551, 0.5000, 0.2434), Ti at (0.4736, 0.0000, 0.4612), O at (0.1254, 0.5000, 0.8750) and O at (0.3676, 0.5000, 0.6406).

Its size of the total moment is 0.00 μB per atom. The density of states at the Fermi level comes out at 0.564 states/eV per atom. For the theoretical density, the calculation gives 3.76 g/cm³. For the electronic total energy, the calculation gives -6.31 eV/atom.

=====

A relaxed TaCu2Cl crystal, computed with PBE.

The space group is P2/m (No. 10) and the conventional cell measures 2.9176, 2.9013 and 7.6486 Å, with angles of 90.00, 91.39 and 90.00 degrees. The inequivalent atoms are Ta at (0.0000, 0.0000, 0.0000), Cu at (0.4890, 0.5000, 0.7556) and Cl at (0.5000, 0.0000, 0.5000).

Its size of the total moment is 0.00 μB per atom. The density of states at the Fermi level comes out at 0.601 states/eV per atom. For the theoretical density, the calculation gives 8.81 g/cm³. For the electronic total energy, the calculation gives -5.35 eV/atom.

=====

A relaxed Cs4RbGe3I12 crystal, computed with PBE.

The space group is Im-3m (No. 229) and the conventional cell measures 12.3202, 12.3202 and 12.3202 Å, with angles of 90.00, 90.00 and 90.00 degrees. The inequivalent atoms are Cs at (0.2500, 0.2500, 0.2500), Rb at (0.0000, 0.0000, 0.0000), Ge at (0.0000, 0.0000, 0.5000), I at (0.0000, 0.0000, 0.2697) and I at (0.0000, 0.2500, 0.5000).

Its size of the total moment is 0.00 μB per atom. The density of states at the Fermi level comes out at 0.518 states/eV per atom. For the theoretical density, the calculation gives 4.19 g/cm³. For the electronic total energy, the calculation gives -2.70 eV/atom.